(1)
DFT (GGA-PBE) results for BaNa4Bi4 after structural relaxation.

a = 7.5285 Å, b = 7.5285 Å, c = 10.7371 Å
α = 90.00°, β = 90.00°, γ = 90.00°
Last column: nearest neighbours and their distance in Å.
Space group P4_2/nmc (No. 137, origin choice 2)
One atom of each set of equivalent atoms:
Ba 0.2500 0.7500 0.2500 x2  4 Bi 3.64
Na 0.0210 0.2500 0.1686 x8  5 Bi 3.22-3.27, 3 Na 3.37-3.45
Bi 0.0248 0.2500 0.4706 x8  5 Na 3.22-3.27, 1 Bi 3.39

**DOS at the Fermi energy**: 0.37 states/eV per atom
**Crystal system**: tetragonal
**Raw total energy**: -2.866 eV/atom
**Total moment**: 0.00 μB/atom

***

(2)
DFT (GGA-PBE) results for TaMnAl2 after structural relaxation.

a = 9.1794 Å, b = 2.8458 Å, c = 4.8114 Å
α = 90.00°, β = 101.74°, γ = 90.00°
Last column: nearest neighbours and their distance in Å.
Space group Cm (No. 8)
One atom of each set of equivalent atoms:
Ta 0.0000 0.0000 0.0000 x2  3 Mn 2.75, 7 Al 2.78-2.84, 2 Ta 2.85
Mn 0.2515 0.5000 0.2373 x2  7 Al 2.69-2.91, 3 Ta 2.75, 2 Mn 2.85
Al 0.2427 0.0000 0.7247 x2  5 Al 2.73-2.85, 4 Mn 2.76-2.83, 3 Ta 2.81-2.84
Al 0.4906 0.0000 0.4934 x2  3 Mn 2.69-2.91, 5 Al 2.73-2.85, 4 Ta 2.78-2.81

**DOS at the Fermi energy**: 0.71 states/eV per atom
**Crystal system**: monoclinic
**Energy above the most stable polymorph in this dataset**: 136 meV/atom
**Raw total energy**: -7.207 eV/atom
**Total moment**: 0.56 μB/atom

***

(3)
DFT (GGA-PBE) results for Ce3Tm after structural relaxation.

a = 7.8655 Å, b = 7.8655 Å, c = 7.8655 Å
α = 90.00°, β = 90.00°, γ = 90.00°
Last column: nearest neighbours and their distance in Å.
Space group Fm-3m (No. 225)
One atom of each set of equivalent atoms:
Ce 0.0000 0.0000 0.0000 x4  8 Ce 3.41
Ce 0.2500 0.2500 0.2500 x8  4 Ce 3.41, 4 Tm 3.41
Tm 0.0000 0.0000 0.5000 x4  8 Ce 3.41

**DOS at the Fermi energy**: 4.01 states/eV per atom
**Crystal system**: cubic
**Energy above the most stable polymorph in this dataset**: 159 meV/atom
**Raw total energy**: -5.316 eV/atom
**Total moment**: 1.22 μB/atom

***

(4)
DFT (GGA-PBE) results for Hf3TlCu after structural relaxation.

a = 4.8772 Å, b = 4.8772 Å, c = 4.8772 Å
α = 90.00°, β = 90.00°, γ = 90.00°
Last column: nearest neighbours and their distance in Å.
Space group Pm-3m (No. 221)
One atom of each set of equivalent atoms:
Hf 0.0000 0.0000 0.5000 x3  2 Cu 2.44
Tl 0.5000 0.5000 0.5000 x1  12 Hf 3.45
Cu 0.0000 0.0000 0.0000 x1  6 Hf 2.44

**DOS at the Fermi energy**: 0.37 states/eV per atom
**Crystal system**: cubic
**Energy above the most stable polymorph in this dataset**: 0 meV/atom
**Raw total energy**: -6.862 eV/atom
**Total moment**: 0.00 μB/atom

***

(5)
DFT (GGA-PBE) results for LiCuP4 after structural relaxation.

a = 7.1708 Å, b = 7.1708 Å, c = 7.1708 Å
α = 90.00°, β = 90.00°, γ = 90.00°
Last column: nearest neighbours and their distance in Å.
Space group F-43m (No. 216)
One atom of each set of equivalent atoms:
Li 0.0000 0.0000 0.0000 x4  12 P 2.99, 4 Cu 3.11
Cu 0.2500 0.2500 0.7500 x4  12 P 2.96, 4 Li 3.11
P 0.1188 0.1188 0.3812 x16  6 P 2.41-2.66

**DOS at the Fermi energy**: 0.38 states/eV per atom
**Crystal system**: cubic
**Raw total energy**: -4.283 eV/atom
**Total moment**: 0.00 μB/atom

***

> What is the DOS at the Fermi energy in the fifth record?

0.38 states/eV per atom